Na2Np2Cl7 after structural relaxation. Source: Alexandria via LeMat-Bulk, functional PBE-GGA.

Properties
Density of states at the Fermi level (states/eV per atom): 1.225
Relative energy among the computed polymorphs (meV per atom): 0
Density (g/cm3): 3.9
Raw formation energy (eV/f.u.): -17.9
Total moment (μB/f.u.): 9.000
E_tot (eV per cell): -59.4

Cell: 6.841 6.841 7.154 Å, 95.29 95.29 82.67°
Atoms (fractional coordinates):
Na1 0.223 0.777 0.000
Na2 0.777 0.223 0.000
Np1 0.223 0.223 0.499
Np2 0.777 0.777 0.501
Cl1 0.022 0.022 0.743
Cl2 0.023 0.520 0.749
Cl3 0.480 0.977 0.251
Cl4 0.500 0.500 0.500
Cl5 0.520 0.023 0.749
Cl6 0.977 0.480 0.251
Cl7 0.978 0.978 0.257